(1)
The following is a DFT calculation (GGA-PBE) of a relaxed BaTlBr crystal.

Structure (POSCAR):
```
BaTlBr
1.0
0.000 4.058 4.058
4.058 0.000 4.058
4.058 4.058 0.000
Ba Tl Br
1 1 1
direct
0.000 0.000 0.000 Ba
0.750 0.750 0.750 Tl
0.250 0.250 0.250 Br
```

Summary:
**Total magnetization**: 1.289 μB/f.u.
**Crystal system**: cubic

(2)
The following is a DFT calculation (GGA-PBE) of a relaxed BaTlBr crystal.

Structure (POSCAR):
```
BaTlBr
1.0
14.799 0.000 0.000
0.000 2.196 3.820
0.000 -2.196 3.820
Ba Tl Br
2 2 2
direct
0.175 0.000 0.000 Ba
0.825 0.000 0.000 Ba
0.000 0.667 0.667 Tl
0.500 0.977 0.977 Tl
0.320 0.667 0.667 Br
0.680 0.667 0.667 Br
```

Summary:
**Total magnetization**: 0.112 μB/f.u.
**Crystal system**: orthorhombic

(3)
The following is a DFT calculation (GGA-PBE) of a relaxed BaTlBr crystal.

Structure (POSCAR):
```
BaTlBr
1.0
5.482 0.000 0.000
-2.741 4.748 0.000
0.000 0.000 4.820
Ba Tl Br
1 1 1
direct
0.000 0.000 0.000 Ba
0.333 0.667 0.485 Tl
0.667 0.333 0.161 Br
```

Summary:
**Total magnetization**: 0.000 μB/f.u.
**Crystal system**: trigonal

(4)
The following is a DFT calculation (GGA-PBE) of a relaxed BaTlBr crystal.

Structure (POSCAR):
```
BaTlBr
1.0
3.090 -3.090 0.000
3.090 3.090 0.000
-3.082 0.000 6.802
Ba Tl Br
1 1 1
direct
0.000 0.000 0.000 Ba
0.653 0.653 0.307 Tl
0.404 0.404 0.807 Br
```

Summary:
**Total magnetization**: 0.000 μB/f.u.
**Crystal system**: monoclinic

Which structure is the least stable? The one labeled (1).

(1)
The following is a DFT calculation (GGA-PBE) of a relaxed BaTlBr crystal.

Structure (POSCAR):
```
BaTlBr
1.0
4.351 -2.527 0.000
4.351 2.527 0.000
-0.759 0.000 11.856
Ba Tl Br
2 2 2
direct
0.019 0.019 0.225 Ba
0.981 0.981 0.775 Ba
0.335 0.335 0.026 Tl
0.665 0.665 0.974 Tl
0.305 0.305 0.649 Br
0.695 0.695 0.351 Br
```

Summary:
**Total magnetization**: 0.000 μB/f.u.
**Crystal system**: monoclinic

(2)
The following is a DFT calculation (GGA-PBE) of a relaxed BaTlBr crystal.

Structure (POSCAR):
```
BaTlBr
1.0
0.000 3.929 3.929
3.929 0.000 3.929
3.929 3.929 0.000
Ba Tl Br
1 1 1
direct
0.000 0.000 0.000 Ba
0.500 0.500 0.500 Tl
0.750 0.750 0.750 Br
```

Summary:
**Total magnetization**: 0.000 μB/f.u.
**Crystal system**: cubic

Which structure is the least stable? The one labeled (2).

(1)
The following is a DFT calculation (GGA-PBE) of a relaxed Ba2TlBr2 crystal.

Structure (POSCAR):
```
Ba2TlBr2
1.0
9.593 0.000 0.000
0.000 9.593 0.000
0.000 0.000 3.987
Ba Tl Br
4 2 4
direct
0.179 0.321 0.000 Ba
0.321 0.821 0.000 Ba
0.679 0.179 0.000 Ba
0.821 0.679 0.000 Ba
0.000 0.000 0.500 Tl
0.500 0.500 0.500 Tl
0.124 0.624 0.500 Br
0.376 0.124 0.500 Br
0.624 0.876 0.500 Br
0.876 0.376 0.500 Br
```

Summary:
**Total magnetization**: 0.000 μB/f.u.
**Crystal system**: tetragonal

(2)
The following is a DFT calculation (GGA-PBE) of a relaxed Ba2TlBr2 crystal.

Structure (POSCAR):
```
Ba2TlBr2
1.0
-2.553 2.553 8.347
2.553 -2.553 8.347
2.553 2.553 -8.347
Ba Tl Br
2 1 2
direct
0.128 0.128 0.000 Ba
0.872 0.872 0.000 Ba
0.500 0.500 0.000 Tl
0.250 0.750 0.500 Br
0.750 0.250 0.500 Br
```

Summary:
**Total magnetization**: 0.519 μB/f.u.
**Crystal system**: tetragonal

Which structure is the least stable? The one labeled (1).

(1)
The following is a DFT calculation (GGA-PBE) of a relaxed Ba2Tl2Br crystal.

Structure (POSCAR):
```
Ba2Tl2Br
1.0
8.932 0.000 0.000
0.000 8.932 0.000
0.000 0.000 5.479
Ba Tl Br
4 4 2
direct
0.176 0.324 0.000 Ba
0.324 0.824 0.000 Ba
0.676 0.176 0.000 Ba
0.824 0.676 0.000 Ba
0.121 0.621 0.500 Tl
0.379 0.121 0.500 Tl
0.621 0.879 0.500 Tl
0.879 0.379 0.500 Tl
0.000 0.000 0.000 Br
0.500 0.500 0.000 Br
```

Summary:
**Total magnetization**: 0.000 μB/f.u.
**Crystal system**: tetragonal

(2)
The following is a DFT calculation (GGA-PBE) of a relaxed Ba2Tl2Br crystal.

Structure (POSCAR):
```
Ba2Tl2Br
1.0
9.795 0.000 0.000
0.000 9.795 0.000
0.000 0.000 4.285
Ba Tl Br
4 4 2
direct
0.193 0.307 0.000 Ba
0.307 0.807 0.000 Ba
0.693 0.193 0.000 Ba
0.807 0.693 0.000 Ba
0.107 0.607 0.500 Tl
0.393 0.107 0.500 Tl
0.607 0.893 0.500 Tl
0.893 0.393 0.500 Tl
0.000 0.000 0.500 Br
0.500 0.500 0.500 Br
```

Summary:
**Total magnetization**: 0.000 μB/f.u.
**Crystal system**: tetragonal

Which structure is the least stable? The one labeled (2).

(1)
The following is a DFT calculation (GGA-PBE) of a relaxed BaW3Br crystal.

Structure (POSCAR):
```
BaW3Br
1.0
5.117 0.000 0.000
0.000 5.117 0.000
0.000 0.000 5.117
Ba W Br
1 3 1
direct
0.000 0.000 0.000 Ba
0.000 0.000 0.500 W
0.000 0.500 0.000 W
0.500 0.000 0.000 W
0.500 0.500 0.500 Br
```

Summary:
**Total magnetization**: 0.001 μB/f.u.
**Crystal system**: cubic

(2)
The following is a DFT calculation (GGA-PBE) of a relaxed BaW3Br crystal.

Structure (POSCAR):
```
BaW3Br
1.0
4.842 0.000 0.000
0.000 4.842 0.000
0.000 0.000 4.842
Ba W Br
1 3 1
direct
0.000 0.000 0.000 Ba
0.000 0.500 0.500 W
0.500 0.000 0.500 W
0.500 0.500 0.000 W
0.500 0.500 0.500 Br
```

Summary:
**Total magnetization**: 0.000 μB/f.u.
**Crystal system**: cubic

Which structure is the least stable? The one labeled (1).

(1)
The following is a DFT calculation (GGA-PBE) of a relaxed BaW2Br crystal.

Structure (POSCAR):
```
BaW2Br
1.0
1.530 0.883 10.602
-1.530 0.883 10.602
0.000 -1.766 10.602
Ba W Br
1 2 1
direct
0.000 0.000 0.000 Ba
0.235 0.235 0.235 W
0.765 0.765 0.765 W
0.500 0.500 0.500 Br
```

Summary:
**Total magnetization**: 0.000 μB/f.u.
**Crystal system**: trigonal

(2)
The following is a DFT calculation (GGA-PBE) of a relaxed BaW2Br crystal.

Structure (POSCAR):
```
BaW2Br
1.0
3.415 0.000 0.000
0.000 6.534 0.000
-0.087 0.000 5.234
Ba W Br
1 2 1
direct
0.000 0.000 0.000 Ba
0.260 0.500 0.162 W
0.740 0.500 0.838 W
0.500 0.000 0.500 Br
```

Summary:
**Total magnetization**: 0.000 μB/f.u.
**Crystal system**: monoclinic

(3)
The following is a DFT calculation (GGA-PBE) of a relaxed BaW2Br crystal.

Structure (POSCAR):
```
BaW2Br
1.0
3.046 0.000 0.000
0.000 3.046 0.000
0.000 0.000 9.421
Ba W Br
1 2 1
direct
0.000 0.000 0.000 Ba
0.500 0.500 0.306 W
0.500 0.500 0.694 W
0.000 0.000 0.500 Br
```

Summary:
**Total magnetization**: 0.000 μB/f.u.
**Crystal system**: tetragonal

(4)
The following is a DFT calculation (GGA-PBE) of a relaxed BaW2Br crystal.

Structure (POSCAR):
```
BaW2Br
1.0
3.429 0.000 0.000
0.000 3.429 0.000
0.000 0.000 8.812
Ba W Br
1 2 1
direct
0.000 0.000 0.000 Ba
0.000 0.000 0.579 W
0.500 0.500 0.693 W
0.500 0.500 0.251 Br
```

Summary:
**Total magnetization**: 0.000 μB/f.u.
**Crystal system**: tetragonal

Which structure is the least stable? The one labeled (3).